Record 1
Compound: Pm8P3IrI4
Source: the Alexandria database
Functional: PBE
Structure: relaxed

a b c (Å): 9.050 9.050 9.050
angles (deg): 55.83 55.83 55.83
Positions (direct):
Pm (0.230, 0.230, 0.230)
Pm (0.236, 0.726, 0.726)
Pm (0.274, 0.274, 0.764)
Pm (0.274, 0.764, 0.274)
Pm (0.726, 0.236, 0.726)
Pm (0.726, 0.726, 0.236)
Pm (0.764, 0.274, 0.274)
Pm (0.770, 0.770, 0.770)
P (0.000, 0.000, 0.500)
P (0.000, 0.500, 0.000)
P (0.500, 0.000, 0.000)
Ir (0.500, 0.500, 0.500)
I (0.000, 0.000, 0.000)
I (0.000, 0.500, 0.500)
I (0.500, 0.000, 0.500)
I (0.500, 0.500, 0.000)

Computed properties:
Calculated total energy ... -5.56 eV/atom
Total magnetization ... 0.000 μB per cell
ΔE_f (raw) ... -1.2263 eV/atom

=====

Record 2
Compound: NdTc2AgO8
Source: the Alexandria database
Functional: PBE
Structure: relaxed

a b c (Å): 6.136 6.136 6.715
angles (deg): 90.00 90.00 120.00
Positions (direct):
Nd (0.000, 0.000, 0.000)
Tc (0.333, 0.667, 0.308)
Tc (0.667, 0.333, 0.692)
Ag (0.000, 0.000, 0.500)
O (0.172, 0.345, 0.221)
O (0.172, 0.828, 0.221)
O (0.333, 0.667, 0.566)
O (0.345, 0.172, 0.779)
O (0.655, 0.828, 0.221)
O (0.667, 0.333, 0.434)
O (0.828, 0.172, 0.779)
O (0.828, 0.655, 0.779)

Computed properties:
Calculated total energy ... -7.24 eV/atom
Total magnetization ... 2.047 μB per cell
ΔE_f (raw) ... -1.5720 eV/atom

=====

Record 3
Compound: Ho6HgS5
Source: the Alexandria database
Functional: PBE
Structure: relaxed

a b c (Å): 6.850 6.850 6.836
angles (deg): 99.58 99.58 119.83
Positions (direct):
Ho (0.069, 0.415, 0.744)
Ho (0.240, 0.240, 0.255)
Ho (0.415, 0.069, 0.744)
Ho (0.585, 0.931, 0.256)
Ho (0.760, 0.760, 0.745)
Ho (0.931, 0.585, 0.256)
Hg (0.500, 0.500, 0.000)
S (0.000, 0.000, 0.500)
S (0.166, 0.834, 0.000)
S (0.335, 0.665, 0.500)
S (0.665, 0.335, 0.500)
S (0.834, 0.166, 0.000)

Computed properties:
Calculated total energy ... -5.72 eV/atom
Total magnetization ... 0.000 μB per cell
ΔE_f (raw) ... -1.6896 eV/atom

=====

Record 4
Compound: NaAgBPd2
Source: the Alexandria database
Functional: PBE
Structure: relaxed

a b c (Å): 4.190 4.190 4.556
angles (deg): 90.00 90.00 90.00
Positions (direct):
Na (0.000, 0.000, 0.000)
Ag (0.500, 0.500, 0.000)
B (0.500, 0.500, 0.500)
Pd (0.000, 0.500, 0.500)
Pd (0.500, 0.000, 0.500)

Computed properties:
Calculated total energy ... -4.34 eV/atom
Total magnetization ... 0.000 μB per cell

=====

Record 5
Compound: Cs2GaRuBr
Source: the Alexandria database
Functional: PBE
Structure: relaxed

a b c (Å): 6.778 6.778 5.823
angles (deg): 90.00 90.00 90.00
Positions (direct):
Cs (0.000, 0.500, 0.000)
Cs (0.500, 0.000, 0.000)
Ga (0.000, 0.000, 0.500)
Ru (0.500, 0.500, 0.500)
Br (0.000, 0.000, 0.000)

Computed properties:
Calculated total energy ... -2.51 eV/atom
Total magnetization ... 1.982 μB per cell
ΔE_f (raw) ... 0.6291 eV/atom

=====

Record 6
Compound: AcTe2Se
Source: the Alexandria database
Functional: PBE
Structure: relaxed

a b c (Å): 13.964 13.964 4.410
angles (deg): 90.00 90.00 161.83
Positions (direct):
Ac (0.179, 0.821, 0.750)
Ac (0.821, 0.179, 0.250)
Te (0.078, 0.922, 0.250)
Te (0.422, 0.578, 0.250)
Te (0.578, 0.422, 0.750)
Te (0.922, 0.078, 0.750)
Se (0.295, 0.705, 0.750)
Se (0.705, 0.295, 0.250)

Computed properties:
ΔE to the lowest computed polymorph ... 0 meV per atom
Calculated total energy ... -4.72 eV/atom
Total magnetization ... 0.000 μB per cell
ΔE_f (raw) ... -1.2543 eV/atom

=====

Record 7
Compound: Li2CrGeS
Source: the Alexandria database
Functional: PBE
Structure: relaxed

a b c (Å): 4.418 4.418 4.552
angles (deg): 90.00 90.00 90.00
Positions (direct):
Li (0.000, 0.500, 0.000)
Li (0.500, 0.000, 0.000)
Cr (0.000, 0.000, 0.500)
Ge (0.500, 0.500, 0.500)
S (0.000, 0.000, 0.000)

Computed properties:
Calculated total energy ... -4.66 eV/atom
Total magnetization ... 2.522 μB per cell
ΔE_f (raw) ... -0.2257 eV/atom

=====

Record 8
Compound: DyTm3Hg12
Source: the Alexandria database
Functional: PBE
Structure: relaxed

a b c (Å): 4.449 4.449 19.531
angles (deg): 90.00 90.00 90.00
Positions (direct):
Dy (0.000, 0.000, 0.000)
Tm (0.000, 0.000, 0.251)
Tm (0.000, 0.000, 0.500)
Tm (0.000, 0.000, 0.749)
Hg (0.000, 0.500, 0.126)
Hg (0.000, 0.500, 0.375)
Hg (0.000, 0.500, 0.625)
Hg (0.000, 0.500, 0.874)
Hg (0.500, 0.000, 0.126)
Hg (0.500, 0.000, 0.375)
Hg (0.500, 0.000, 0.625)
Hg (0.500, 0.000, 0.874)
Hg (0.500, 0.500, 0.000)
Hg (0.500, 0.500, 0.251)
Hg (0.500, 0.500, 0.500)
Hg (0.500, 0.500, 0.749)

Computed properties:
Calculated total energy ... -1.63 eV/atom
Total magnetization ... 0.000 μB per cell

=====

Record 9
Compound: LiH2F
Source: the Alexandria database
Functional: PBE
Structure: relaxed

a b c (Å): 12.324 12.324 12.324
angles (deg): 168.13 168.13 16.82
Positions (direct):
Li (0.375, 0.625, 0.750)
Li (0.625, 0.375, 0.250)
H (0.000, 0.000, 0.000)
H (0.000, 0.000, 0.500)
H (0.000, 0.500, 0.000)
H (0.500, 0.000, 0.500)
F (0.125, 0.875, 0.250)
F (0.875, 0.125, 0.750)

Computed properties:
ΔE to the lowest computed polymorph ... 0 meV per atom
Calculated total energy ... -3.65 eV/atom
Total magnetization ... 0.000 μB per cell

=====

Record 10
Compound: CoRu
Source: the Alexandria database
Functional: PBE
Structure: relaxed

a b c (Å): 4.512 4.512 4.443
angles (deg): 100.13 100.13 33.88
Positions (direct):
Co (0.128, 0.128, 0.386)
Co (0.872, 0.872, 0.614)
Ru (0.377, 0.377, 0.127)
Ru (0.623, 0.623, 0.873)

Computed properties:
Calculated total energy ... -8.04 eV/atom
Total magnetization ... 2.199 μB per cell

=====

Record 11
Compound: ScZn2Ni
Source: the Alexandria database
Functional: PBE
Structure: relaxed

a b c (Å): 4.411 4.392 4.380
angles (deg): 60.39 59.94 59.67
Positions (direct):
Sc (0.000, 0.000, 0.000)
Zn (0.250, 0.250, 0.250)
Zn (0.500, 0.500, 0.500)
Ni (0.750, 0.750, 0.750)

Computed properties:
Calculated total energy ... -3.99 eV/atom
Total magnetization ... 0.000 μB per cell

=====

Record 12
Compound: TiGaPt2C
Source: the Alexandria database
Functional: PBE
Structure: relaxed

a b c (Å): 4.807 4.807 3.674
angles (deg): 90.00 90.00 90.00
Positions (direct):
Ti (0.000, 0.000, 0.000)
Ga (0.500, 0.500, 0.500)
Pt (0.000, 0.500, 0.500)
Pt (0.500, 0.000, 0.500)
C (0.500, 0.500, 0.000)

Computed properties:
Calculated total energy ... -5.46 eV/atom
Total magnetization ... 0.000 μB per cell